1.
DFT (PBEsol) results for a geometry-optimized LaMn2Al structure.

The structure in extended XYZ format:
```
4
Lattice="2.9769 0.0000 0.0000 0.0000 4.9108 0.2338 -1.4884 -1.5400 4.6109" Properties=species:S:1:pos:R:3 pbc="T T T"
La 0.0000 3.0329 2.5443
Al 0.0000 0.5541 4.4388
Mn 1.4884 0.6915 2.1815
Mn 0.0000 0.0076 0.4078
```

Results
space-group type: No. 8
calculated total energy: -27.7 eV/cell

=====

2.
DFT (PBEsol) results for a geometry-optimized CaMg2Hg structure.

The structure in extended XYZ format:
```
4
Lattice="5.0846 0.0000 0.0000 -2.5423 4.4235 0.0308 0.0000 2.8932 4.1812" Properties=species:S:1:pos:R:3 pbc="T T T"
Ca 2.5423 1.4466 2.0906
Mg 2.5423 4.3816 3.1513
Hg 0.0000 2.9350 1.0607
Mg 0.0000 0.0000 0.0000
```

Results
space-group type: No. 119
calculated total energy: -7.3 eV/cell

=====

3.
DFT (PBEsol) results for a geometry-optimized CaCuOs structure.

The structure in extended XYZ format:
```
3
Lattice="-1.2169 2.8265 3.0259 -3.0418 -1.0811 2.8643 1.0637 -0.6675 4.1290" Properties=species:S:1:pos:R:3 pbc="T T T"
Os 0.0000 0.0000 0.0000
Ca -1.5975 0.5389 5.0097
Cu -2.3962 0.8084 7.5145
```

Results
space-group type: No. 216
calculated total energy: -15.8 eV/cell

=====

4.
DFT (PBEsol) results for a geometry-optimized TaBeCoS2 structure.

The structure in extended XYZ format:
```
5
Lattice="-3.3514 0.7876 -3.1345 -2.1614 -3.9034 1.3301 -2.3958 2.4055 3.1661" Properties=species:S:1:pos:R:3 pbc="T T T"
S -1.0807 -1.9517 0.6651
Co -1.1979 1.2027 1.5830
Ta 0.0000 0.0000 0.0000
S -1.6757 0.3938 -1.5672
Be -3.9543 -0.3552 0.6809
```

Results
space-group type: No. 123
energy relative to the elements, uncorrected: 845.4 meV/atom